(1)
Crystalline MgCu2O4 at its relaxed geometry. Source: Alexandria, functional PBE.

Polymorph energy (0 for the lowest one), meV/atom: 92
Fermi-level density of states, states/eV/f.u.: 5.40
Crystal system: orthorhombic
Symmetry: Imma (74)
Formation energy from raw total energies, kJ/mol of formula units: -679

a = 5.891 Å, b = 5.891 Å, c = 5.891 Å
α = 119.91°, β = 119.59°, γ = 90.43°
Fractional positions:
Mg 0.500 0.000 0.000
Mg 0.500 0.500 0.500
Cu 0.000 0.000 0.000
Cu 0.113 0.363 0.750
Cu 0.500 0.000 0.500
Cu 0.887 0.637 0.250
O 0.244 0.230 0.014
O 0.249 0.234 0.484
O 0.249 0.765 0.016
O 0.284 0.770 0.514
O 0.716 0.230 0.486
O 0.751 0.235 0.984
O 0.751 0.766 0.516
O 0.756 0.770 0.986

(2)
Crystalline BePt at its relaxed geometry. Source: Alexandria, functional PBE.

Fermi-level density of states, states/eV/f.u.: 0.55
Crystal system: trigonal
DFT formation energy, meV/atom: -238
Symmetry: R-3m (166)

a = 2.726 Å, b = 2.726 Å, c = 24.155 Å
α = 90.00°, β = 90.00°, γ = 120.00°
Fractional positions:
Be 0.000 0.000 0.127
Be 0.000 0.000 0.873
Be 0.333 0.667 0.540
Be 0.333 0.667 0.793
Be 0.667 0.333 0.207
Be 0.667 0.333 0.460
Pt 0.000 0.000 0.387
Pt 0.000 0.000 0.613
Pt 0.333 0.667 0.054
Pt 0.333 0.667 0.279
Pt 0.667 0.333 0.721
Pt 0.667 0.333 0.946

(3)
Crystalline ZrCoPb at its relaxed geometry. Source: Alexandria, functional PBE.

Fermi-level density of states, states/eV/f.u.: 2.65
Crystal system: trigonal
DFT formation energy, meV/atom: 149
Symmetry: P3m1 (156)

a = 3.462 Å, b = 3.462 Å, c = 6.133 Å
α = 90.00°, β = 90.00°, γ = 120.00°
Fractional positions:
Zr 0.000 0.000 0.000
Co 0.667 0.333 0.244
Pb 0.333 0.667 0.564

(4)
Crystalline Np2AlTe6 at its relaxed geometry. Source: Alexandria, functional PBE.

Fermi-level density of states, states/eV/f.u.: 20.38
Crystal system: tetragonal
Symmetry: P4_2/mnm (136)
Formation energy from raw total energies, kJ/mol of formula units: -275

a = 6.916 Å, b = 6.916 Å, c = 13.333 Å
α = 90.00°, β = 90.00°, γ = 90.00°
Fractional positions:
Np 0.000 0.000 0.166
Np 0.000 0.000 0.834
Np 0.500 0.500 0.334
Np 0.500 0.500 0.666
Al 0.000 0.000 0.500
Al 0.500 0.500 0.000
Te 0.193 0.193 0.344
Te 0.193 0.193 0.656
Te 0.208 0.208 0.000
Te 0.292 0.708 0.500
Te 0.307 0.693 0.156
Te 0.307 0.693 0.844
Te 0.693 0.307 0.156
Te 0.693 0.307 0.844
Te 0.708 0.292 0.500
Te 0.792 0.792 0.000
Te 0.807 0.807 0.344
Te 0.807 0.807 0.656

(5)
Crystalline SrInP4 at its relaxed geometry. Source: Alexandria, functional PBE.

Fermi-level density of states, states/eV/f.u.: 5.08
Crystal system: cubic
DFT formation energy, meV/atom: -14
Symmetry: F-43m (216)

a = 5.646 Å, b = 5.646 Å, c = 5.646 Å
α = 60.00°, β = 60.00°, γ = 60.00°
Fractional positions:
Sr 0.000 0.000 0.000
In 0.750 0.750 0.750
P 0.394 0.394 0.394
P 0.394 0.394 0.819
P 0.394 0.819 0.394
P 0.819 0.394 0.394

(6)
Crystalline MnAgSe2 at its relaxed geometry. Source: Alexandria, functional PBE.

Fermi-level density of states, states/eV/f.u.: 0.00
Crystal system: orthorhombic
Symmetry: Pnma (62)
Formation energy from raw total energies, kJ/mol of formula units: -82

a = 6.736 Å, b = 7.068 Å, c = 8.738 Å
α = 90.00°, β = 90.00°, γ = 90.00°
Fractional positions:
Mn 0.000 0.000 0.000
Mn 0.000 0.500 0.000
Mn 0.500 0.000 0.500
Mn 0.500 0.500 0.500
Ag 0.103 0.250 0.404
Ag 0.397 0.750 0.904
Ag 0.603 0.250 0.096
Ag 0.897 0.750 0.596
Se 0.175 0.750 0.142
Se 0.207 0.250 0.114
Se 0.293 0.750 0.614
Se 0.325 0.250 0.642
Se 0.675 0.750 0.358
Se 0.707 0.250 0.386
Se 0.793 0.750 0.886
Se 0.825 0.250 0.858

(7)
Crystalline Zn2ReNO at its relaxed geometry. Source: Alexandria, functional PBE.

Fermi-level density of states, states/eV/f.u.: 1.75
Crystal system: tetragonal
Symmetry: P4/mmm (123)
Formation energy from raw total energies, kJ/mol of formula units: 567

a = 3.591 Å, b = 3.591 Å, c = 5.912 Å
α = 90.00°, β = 90.00°, γ = 90.00°
Fractional positions:
Zn 0.000 0.500 0.000
Zn 0.500 0.000 0.000
Re 0.000 0.000 0.500
N 0.500 0.500 0.000
O 0.500 0.500 0.500

(8)
Crystalline Rb3Tb3PaSe8 at its relaxed geometry. Source: Alexandria, functional PBE.

Fermi-level density of states, states/eV/f.u.: 3.17
Crystal system: trigonal
Symmetry: R-3m (166)
Formation energy from raw total energies, kJ/mol of formula units: -2429

a = 9.486 Å, b = 9.486 Å, c = 9.486 Å
α = 52.93°, β = 52.93°, γ = 52.93°
Fractional positions:
Rb 0.000 0.500 0.500
Rb 0.500 0.000 0.500
Rb 0.500 0.500 0.000
Tb 0.000 0.000 0.500
Tb 0.000 0.500 0.000
Tb 0.500 0.000 0.000
Pa 0.500 0.500 0.500
Se 0.232 0.232 0.232
Se 0.233 0.730 0.730
Se 0.270 0.270 0.767
Se 0.270 0.767 0.270
Se 0.730 0.233 0.730
Se 0.730 0.730 0.233
Se 0.767 0.270 0.270
Se 0.768 0.768 0.768

(9)
Crystalline CeNdSc2As4 at its relaxed geometry. Source: Alexandria, functional PBE.

Fermi-level density of states, states/eV/f.u.: 6.36
Crystal system: monoclinic
DFT formation energy, meV/atom: -1401
Symmetry: P2/m (10)

a = 6.995 Å, b = 4.076 Å, c = 7.065 Å
α = 90.00°, β = 109.57°, γ = 90.00°
Fractional positions:
Ce 0.000 0.000 0.000
Nd 0.000 0.500 0.500
Sc 0.500 0.000 0.500
Sc 0.500 0.500 0.000
As 0.271 0.500 0.254
As 0.272 0.000 0.761
As 0.728 0.000 0.239
As 0.729 0.500 0.746

(10)
Crystalline TbZrTiIn at its relaxed geometry. Source: Alexandria, functional PBE.

Fermi-level density of states, states/eV/f.u.: 3.64
Crystal system: cubic
DFT formation energy, meV/atom: -49
Symmetry: F-43m (216)

a = 7.228 Å, b = 7.228 Å, c = 7.228 Å
α = 90.00°, β = 90.00°, γ = 90.00°
Fractional positions:
Tb 0.000 0.000 0.000
Tb 0.000 0.500 0.500
Tb 0.500 0.000 0.500
Tb 0.500 0.500 0.000
Zr 0.000 0.000 0.500
Zr 0.000 0.500 0.000
Zr 0.500 0.000 0.000
Zr 0.500 0.500 0.500
Ti 0.250 0.250 0.250
Ti 0.250 0.750 0.750
Ti 0.750 0.250 0.750
Ti 0.750 0.750 0.250
In 0.250 0.250 0.750
In 0.250 0.750 0.250
In 0.750 0.250 0.250
In 0.750 0.750 0.750

(11)
Crystalline ErLu2Au at its relaxed geometry. Source: Alexandria, functional PBE.

Polymorph energy (0 for the lowest one), meV/atom: 0
Fermi-level density of states, states/eV/f.u.: 5.44
Crystal system: tetragonal
DFT formation energy, meV/atom: -414
Symmetry: P4/mmm (123)

a = 3.507 Å, b = 3.507 Å, c = 8.596 Å
α = 90.00°, β = 90.00°, γ = 90.00°
Fractional positions:
Er 0.000 0.000 0.000
Lu 0.500 0.500 0.294
Lu 0.500 0.500 0.706
Au 0.000 0.000 0.500

(12)
Crystalline Zr6PtN at its relaxed geometry. Source: Alexandria, functional PBE.

Fermi-level density of states, states/eV/f.u.: 7.34
Crystal system: triclinic
Symmetry: P-1 (2)
Formation energy from raw total energies, kJ/mol of formula units: -505

a = 5.144 Å, b = 5.740 Å, c = 5.900 Å
α = 98.65°, β = 112.67°, γ = 90.90°
Fractional positions:
Zr 0.065 0.291 0.157
Zr 0.230 0.825 0.477
Zr 0.396 0.375 0.751
Zr 0.604 0.625 0.249
Zr 0.770 0.175 0.523
Zr 0.935 0.709 0.843
Pt 0.500 0.000 0.000
N 0.000 0.500 0.500

The highest Fermi-level density of states belongs to which entry?
Np2AlTe6

Which of these has the highest Fermi-level density of states?
Np2AlTe6

Which of these has the highest Fermi-level density of states?
Np2AlTe6

Which value of Fermi-level density of states does entry 7 give?
1.75 states/eV/f.u.